1.
Computed, not measured: an optimized crystal structure of NbSiAsSe2 at the PBE-GGA level of DFT.

POSCAR file:
```
NbSiAsSe2
1.0
-0.637 4.234 2.065
-2.858 1.309 -3.566
-3.699 -1.698 2.342
As Se Si Nb
1 2 1 1
direct
0.000 0.000 0.500
0.500 0.000 0.000
0.000 0.500 0.000
0.000 0.000 0.000
0.500 0.500 0.500
```

Output
The calculation puts the total DFT energy (no corrections) at -4.817 eV per atom. The space group is No. 123. For the uncorrected formation energy, the calculation gives 0.605 eV/atom. For the energy above the most stable polymorph in this dataset, the calculation gives 182 meV/atom. For the spin magnetization, the calculation gives 2.08 μB per cell.

=====

2.
Computed, not measured: an optimized crystal structure of NbSiAsSe2 at the PBE-GGA level of DFT.

POSCAR file:
```
NbSiAsSe2
1.0
-2.833 4.063 -0.367
-2.362 -1.998 -3.886
-3.452 -2.119 3.188
Nb As Se Si
1 1 2 1
direct
0.000 0.000 0.000
0.000 0.000 0.500
0.500 0.000 0.000
0.000 0.500 0.000
0.500 0.500 0.500
```

Output
The calculation puts the total DFT energy (no corrections) at -4.999 eV per atom. The space group is No. 123. For the uncorrected formation energy, the calculation gives 0.423 eV/atom. For the energy above the most stable polymorph in this dataset, the calculation gives 0 meV/atom. For the spin magnetization, the calculation gives 0.00 μB per cell.

=====

3.
Computed, not measured: an optimized crystal structure of SrNbAs2Se at the PBE-GGA level of DFT.

POSCAR file:
```
SrNbAs2Se
1.0
-3.707 -3.182 1.163
3.146 -2.593 2.932
-1.307 3.007 4.062
Nb Sr As Se
1 1 2 1
direct
0.000 0.000 0.000
0.500 0.500 0.500
0.000 0.500 0.000
0.500 0.000 0.000
0.000 0.000 0.500
```

Output
The calculation puts the total DFT energy (no corrections) at -5.526 eV per atom. The space group is No. 123. For the uncorrected formation energy, the calculation gives -0.619 eV/atom. For the energy above the most stable polymorph in this dataset, the calculation gives 0 meV/atom. For the spin magnetization, the calculation gives 0.00 μB per cell.

=====

4.
Computed, not measured: an optimized crystal structure of SrNbAs2Se at the PBE-GGA level of DFT.

POSCAR file:
```
SrNbAs2Se
1.0
5.369 0.000 0.000
0.000 5.369 0.000
0.000 0.000 5.445
Sr As Nb Se
1 2 1 1
direct
0.000 0.000 0.000
0.000 0.500 0.000
0.500 0.000 0.000
0.500 0.500 0.500
0.000 0.000 0.500
```

Output
The calculation puts the total DFT energy (no corrections) at -3.546 eV per atom. The space group is No. 123. For the uncorrected formation energy, the calculation gives 1.361 eV/atom. For the energy above the most stable polymorph in this dataset, the calculation gives 1980 meV/atom. For the spin magnetization, the calculation gives 0.09 μB per cell.